DFT (PBE+U) results for a relaxed AlNiNF2 crystal.

Space group: P4/mmm, No. 123
Volume, Å³ per cell: 52
Density of states at the Fermi level, states/eV per atom: 0.0608
ρ, g/cm3: 4.4
Polymorph energy (0 for the lowest one), eV/f.u.: 0.00

Cell and atoms, written as POSCAR:
```
AlNiNF2
1.0
3.5784 0.0000 0.0000
0.0000 3.5784 0.0000
0.0000 0.0000 4.0414
N Al Ni F
1 1 1 2
Direct
0.0000 0.0000 0.5000
0.0000 0.0000 0.0000
0.5000 0.5000 0.5000
0.5000 0.0000 0.0000
0.0000 0.5000 0.0000
```